RbWF5: relaxed, PBE+U.

Unit cell a=6.430 b=6.430 c=8.302 alpha=107.55 beta=107.55 gamma=74.71
Element x y z (fractional)
Rb 0.029 0.971 0.750
Rb 0.971 0.029 0.250
W 0.500 0.500 0.000
W 0.500 0.500 0.500
F 0.233 0.738 0.025
F 0.262 0.767 0.475
F 0.273 0.311 0.400
F 0.311 0.273 0.900
F 0.447 0.553 0.750
F 0.553 0.447 0.250
F 0.689 0.727 0.100
F 0.727 0.689 0.600
F 0.738 0.233 0.525
F 0.767 0.262 0.975

- Total moment: 4.00 μB/cell
- E_tot: -5.333 eV/atom
- Symmetry: C2/c